TcPtSe: relaxed, PBE.

a = 4.1004 Å, b = 4.1004 Å, c = 3.3611 Å
α = 90.00°, β = 90.00°, γ = 120.00°
Space group P3m1 (No. 156)
Symmetry-distinct sites (fractional):
Tc 0.0000 0.0000 0.0000 [1 per cell]
Pt 0.6667 0.3333 0.4713 [1 per cell]
Se 0.3333 0.6667 0.8519 [1 per cell]

## Properties
Energy above the lowest structure with this stoichiometry   17.1 kJ per mole of atoms
Crystal system   trigonal

TcPtSe2: relaxed, PBE.

a = 2.9305 Å, b = 2.9305 Å, c = 9.1174 Å
α = 90.00°, β = 90.00°, γ = 90.00°
Space group P4mm (No. 99)
Symmetry-distinct sites (fractional):
Tc 0.0000 0.0000 0.0000 [1 per cell]
Pt 0.5000 0.5000 0.2063 [1 per cell]
Se 0.0000 0.0000 0.4257 [1 per cell]
Se 0.5000 0.5000 0.8363 [1 per cell]

## Properties
Energy above the lowest structure with this stoichiometry   18.0 kJ per mole of atoms
Crystal system   tetragonal

TcPtSe2: relaxed, PBE.

a = 3.1120 Å, b = 3.1120 Å, c = 24.2483 Å
α = 90.00°, β = 90.00°, γ = 120.00°
Space group R-3m (No. 166, hexagonal axes)
Symmetry-distinct sites (fractional):
Tc 0.0000 0.0000 0.0000 [3 per cell]
Pt 0.0000 0.0000 0.5000 [3 per cell]
Se 0.0000 0.0000 0.2581 [6 per cell]

## Properties
Energy above the lowest structure with this stoichiometry   25.0 kJ per mole of atoms
Crystal system   trigonal

TcPt2Se: relaxed, PBE.

a = 2.7974 Å, b = 2.7974 Å, c = 8.3819 Å
α = 90.00°, β = 90.00°, γ = 90.00°
Space group P4/mmm (No. 123)
Symmetry-distinct sites (fractional):
Tc 0.0000 0.0000 0.0000 [1 per cell]
Pt 0.5000 0.5000 0.2229 [2 per cell]
Se 0.0000 0.0000 0.5000 [1 per cell]

## Properties
Crystal system   tetragonal

TcPtSe2: relaxed, PBE.

a = 3.4514 Å, b = 3.4514 Å, c = 23.5450 Å
α = 90.00°, β = 90.00°, γ = 120.00°
Space group R-3m (No. 166, hexagonal axes)
Symmetry-distinct sites (fractional):
Tc 0.0000 0.0000 0.0000 [3 per cell]
Pt 0.0000 0.0000 0.5000 [3 per cell]
Se 0.0000 0.0000 0.1006 [6 per cell]

## Properties
Energy above the lowest structure with this stoichiometry   58.5 kJ per mole of atoms
Crystal system   trigonal

TcPtSe2: relaxed, PBE.

a = 13.2207 Å, b = 2.9579 Å, c = 4.7497 Å
α = 90.00°, β = 95.53°, γ = 90.00°
Space group C2/m (No. 12)
Symmetry-distinct sites (fractional):
Tc 0.0000 0.0000 0.0000 [2 per cell]
Pt 0.0000 0.5000 0.5000 [2 per cell]
Se 0.1431 0.5000 0.2054 [4 per cell]

## Properties
Energy above the lowest structure with this stoichiometry   14.4 kJ per mole of atoms
Crystal system   monoclinic

Number 1: calculated volume 49 Å³/f.u., raw total energy -6.46 eV/atom, formation energy from raw total energies 0.169 eV/atom. Number 2: calculated volume 78 Å³/f.u., raw total energy -5.83 eV/atom, formation energy from raw total energies 0.012 eV/atom. Number 3: calculated volume 68 Å³/f.u., raw total energy -5.76 eV/atom, formation energy from raw total energies 0.085 eV/atom. Number 4: calculated volume 66 Å³/f.u., raw total energy -6.41 eV/atom, formation energy from raw total energies 0.075 eV/atom. Number 5: calculated volume 81 Å³/f.u., raw total energy -5.41 eV/atom, formation energy from raw total energies 0.433 eV/atom. Number 6: calculated volume 92 Å³/f.u., raw total energy -5.87 eV/atom, formation energy from raw total energies -0.025 eV/atom.